No. 1
A relaxed Np2Tl3NiTe6 crystal, computed with PBE.

extended XYZ file:
```
12
Lattice="-2.493 -6.086 3.502 4.475 -0.708 -5.916 5.836 2.478 5.733" Properties=species:S:1:pos:R:3 pbc="T T T"
Ni 0.000 0.000 0.000
Tl 1.699 -3.864 4.647
Tl 3.909 -2.158 1.660
Tl 6.119 -0.452 -1.328
Te 5.027 0.278 3.879
Te 5.216 -4.162 4.150
Te 2.790 -4.594 -0.559
Te 0.494 -1.780 2.017
Te 2.602 -0.154 -0.831
Te 7.323 -2.536 1.302
Np -0.140 -4.269 0.321
Np 2.121 -2.524 -2.735
```


No. 2
6
Lattice="5.099 0.000 0.000 2.550 4.416 0.000 2.550 1.472 4.163" Properties=species:S:1:pos:R:3 comment="ThNpNi4 PBE optimized geometry" delta_e_f_kj_per_mol_fu=-131 pbc="T T T"
Np 0.000 0.000 0.000
Th 2.550 1.472 1.041
Ni 5.099 1.460 2.606
Ni 3.814 3.686 2.606
Ni 6.384 3.686 2.606
Ni 5.099 2.944 0.508


No. 3
4
Lattice="-1.520 -0.638 3.101 -0.983 -3.267 0.834 8.213 -2.980 5.402" Properties=species:S:1:pos:R:3 comment="Th2NpNi PBE optimized geometry" delta_e_f_kj_per_mol_fu=172 pbc="T T T"
Np 0.000 0.000 0.000
Ni 2.854 -3.443 4.669
Th 0.294 -4.424 5.201
Th 5.414 -2.461 4.137


No. 4
12
Lattice="-0.426 -1.455 4.687 3.840 0.395 3.061 -1.318 7.166 4.694" Properties=species:S:1:pos:R:3 comment="ThNp2Ni9 PBE optimized geometry" delta_e_f_kj_per_mol_fu=-325 pbc="T T T"
Ni 1.048 3.053 6.221
Ni 0.880 0.621 6.746
Ni 1.093 1.349 4.401
Ni 0.960 6.453 9.857
Ni 1.136 -0.347 2.584
Ni 3.014 1.546 5.932
Ni 1.003 4.757 8.041
Ni -0.918 4.559 6.510
Ni 1.216 5.485 5.696
Np -0.246 3.885 3.773
Np 2.342 2.221 8.669
Th 0.000 0.000 0.000


Number 1: energy -5.161 eV/atom, magnetization 8.1 μB/cell. Number 2: energy -7.474 eV/atom, magnetization 4.3 μB/cell. Number 3: energy -7.945 eV/atom, magnetization 4.4 μB/cell. Number 4: energy -7.392 eV/atom, magnetization 7.1 μB/cell.